Computed, not measured: a relaxed structure of AlSe at the GGA-PBE level of DFT.

Cell lengths 4.2587, 4.2587, 4.2587 Å; angles 60.00, 60.00, 60.00 degrees
Closest atoms and distances in Å follow each position.
Element x y z (fractional)
Se 0.7500 0.7500 0.7500  4 Al 2.61
Al 0.0000 0.0000 0.0000  4 Se 2.61

ΔE_f (raw) ... -0.186 eV per atom
SG ... F-43m, No. 216
Crystal system ... cubic
Size of the total moment ... 0.00 μB/f.u.

=====

Computed, not measured: a relaxed structure of Mn3NiOs at the GGA-PBE level of DFT.

Cell lengths 4.5667, 4.5667, 4.5667 Å; angles 90.00, 90.00, 90.00 degrees
Closest atoms and distances in Å follow each position.
Element x y z (fractional)
Mn 0.5000 0.0000 0.0000  2 Os 2.28
Ni 0.5000 0.5000 0.5000  12 Mn 3.23
Mn 0.0000 0.0000 0.5000  2 Os 2.28
Mn 0.0000 0.5000 0.0000  2 Os 2.28
Os 0.0000 0.0000 0.0000  6 Mn 2.28

ΔE_f ... 7.4 eV/f.u.
SG ... Pm-3m, No. 221
Crystal system ... cubic
Size of the total moment ... 9.23 μB/f.u.

=====

Computed, not measured: a relaxed structure of Pu4P3O at the GGA-PBE level of DFT.

Cell lengths 3.8526, 3.8526, 12.8578 Å; angles 81.38, 81.38, 60.00 degrees
Closest atoms and distances in Å follow each position.
Element x y z (fractional)
P 0.7442 0.7442 0.7673  6 Pu 2.78-2.81
Pu 0.8774 0.8774 0.3677  6 P 2.78-2.81
O 0.0000 0.0000 0.0000  6 Pu 2.57
P 0.5000 0.5000 0.5000  6 Pu 2.78
P 0.2558 0.2558 0.2327  6 Pu 2.78-2.81
Pu 0.6330 0.6330 0.1010  3 O 2.57, 3 P 2.78
Pu 0.3670 0.3670 0.8990  3 O 2.57, 3 P 2.78
Pu 0.1226 0.1226 0.6323  6 P 2.78-2.81

ΔE_f (raw) ... -1.441 eV per atom
SG ... R-3m, No. 166
Crystal system ... trigonal
Size of the total moment ... 0.36 μB/f.u.

=====

Computed, not measured: a relaxed structure of Pr3SmTh2As6 at the GGA-PBE level of DFT.

Cell lengths 4.2777, 8.5460, 9.5634 Å; angles 103.03, 102.92, 90.00 degrees
Closest atoms and distances in Å follow each position.
Element x y z (fractional)
Sm 0.5000 0.0000 0.0000  6 As 3.00
As 0.3345 0.9133 0.6691  2 Th 2.99, 1 Sm 3.00, 3 Pr 3.04-3.06
Th 0.8348 0.6692 0.6695  6 As 2.97-3.02
As 0.6683 0.5798 0.3366  3 Th 3.01-3.02, 3 Pr 3.05-3.06
As 0.3317 0.4202 0.6634  3 Th 3.01-3.02, 3 Pr 3.05-3.06
Pr 0.1657 0.8343 0.3314  6 As 3.03-3.06
As 0.6655 0.0867 0.3309  2 Th 2.99, 1 Sm 3.00, 3 Pr 3.04-3.06
As 0.9986 0.7528 0.9971  1 Th 2.97, 2 Sm 3.00, 3 Pr 3.03-3.04
Pr 0.5000 0.5000 0.0000  6 As 3.04-3.05
Pr 0.8343 0.1657 0.6686  6 As 3.03-3.06
Th 0.1652 0.3308 0.3305  6 As 2.97-3.02
As 0.0014 0.2472 0.0029  1 Th 2.97, 2 Sm 3.00, 3 Pr 3.03-3.04

ΔE_f ... -17.9 eV/f.u.
SG ... C2/m, No. 12
Crystal system ... monoclinic
Size of the total moment ... 0.00 μB/f.u.

=====

Computed, not measured: a relaxed structure of TiPt4 at the GGA-PBE level of DFT.

Cell lengths 3.9891, 5.5343, 7.9218 Å; angles 110.44, 104.58, 90.00 degrees
Closest atoms and distances in Å follow each position.
Element x y z (fractional)
Pt 0.0925 0.3425 0.1851  8 Pt 2.76-2.79, 3 Ti 2.77-2.85
Pt 0.3114 0.3128 0.6228  7 Pt 2.66-2.79, 2 Ti 2.70
Pt 0.5000 0.5000 0.0000  8 Pt 2.70-2.77, 4 Ti 2.87
Pt 0.3114 0.8100 0.6228  7 Pt 2.66-2.79, 2 Ti 2.70
Pt 0.9075 0.6575 0.8149  8 Pt 2.76-2.79, 3 Ti 2.77-2.85
Pt 0.6886 0.1900 0.3772  7 Pt 2.66-2.79, 2 Ti 2.70
Ti 0.8932 0.1432 0.7865  11 Pt 2.70-2.87
Pt 0.6886 0.6872 0.3772  7 Pt 2.66-2.79, 2 Ti 2.70
Pt 0.5000 0.0000 0.0000  8 Pt 2.70-2.77, 4 Ti 2.87
Ti 0.1068 0.8568 0.2135  11 Pt 2.70-2.87

ΔE_f ... -3.3 eV/f.u.
SG ... Imma, No. 74
Crystal system ... orthorhombic
Size of the total moment ... 0.00 μB/f.u.

=====

Computed, not measured: a relaxed structure of Dy3Al4Ni4 at the GGA-PBE level of DFT.

Cell lengths 6.4051, 6.4051, 6.4051 Å; angles 109.47, 109.47, 109.47 degrees
Closest atoms and distances in Å follow each position.
Element x y z (fractional)
Ni 0.3737 0.3737 0.3737  4 Al 2.30-2.43
Al 0.0000 0.2666 0.0000  4 Ni 2.30-2.43
Dy 0.5000 0.5000 0.0000  4 Ni 3.03, 4 Al 3.05
Al 0.7334 0.7334 0.7334  4 Ni 2.30-2.43
Ni 0.0000 0.6263 0.0000  4 Al 2.30-2.43
Al 0.0000 0.0000 0.2666  4 Ni 2.30-2.43
Dy 0.5000 0.0000 0.5000  4 Ni 3.03, 4 Al 3.05
Ni 0.6263 0.0000 0.0000  4 Al 2.30-2.43
Ni 0.0000 0.0000 0.6263  4 Al 2.30-2.43
Dy 0.0000 0.5000 0.5000  4 Ni 3.03, 4 Al 3.05
Al 0.2666 0.0000 0.0000  4 Ni 2.30-2.43

ΔE_f ... -4.9 eV/f.u.
SG ... I-43m, No. 217
Crystal system ... cubic
Size of the total moment ... 0.00 μB/f.u.

=====

Computed, not measured: a relaxed structure of ScCuSO at the GGA-PBE level of DFT.

Cell lengths 3.6336, 3.6336, 8.2168 Å; angles 90.00, 90.00, 90.00 degrees
Closest atoms and distances in Å follow each position.
Element x y z (fractional)
S 0.0000 0.5000 0.6892  4 Cu 2.39
O 0.5000 0.5000 0.0000  4 Sc 2.09
O 0.0000 0.0000 0.0000  4 Sc 2.09
Cu 0.0000 0.0000 0.5000  4 S 2.39, 4 Cu 2.57
S 0.5000 0.0000 0.3108  4 Cu 2.39
Sc 0.5000 0.0000 0.8741  4 O 2.09
Cu 0.5000 0.5000 0.5000  4 S 2.39, 4 Cu 2.57
Sc 0.0000 0.5000 0.1259  4 O 2.09

ΔE_f (raw) ... -1.861 eV per atom
SG ... P4/nmm, No. 129
Crystal system ... tetragonal
Size of the total moment ... 0.00 μB/f.u.

=====

Computed, not measured: a relaxed structure of RbBeH2 at the GGA-PBE level of DFT.

Cell lengths 4.9200, 4.9200, 5.9255 Å; angles 65.47, 65.47, 90.00 degrees
Closest atoms and distances in Å follow each position.
Element x y z (fractional)
Rb 0.0000 0.0000 0.0000  8 H 3.00
H 0.3751 0.1250 0.2500  2 Be 1.72
H 0.3750 0.6249 0.7500  2 Be 1.72
H 0.3749 0.6250 0.2500  2 Be 1.72
Rb 0.7500 0.2500 0.5000  8 H 3.00
Be 0.5000 0.5000 0.0000  4 H 1.72
Be 0.2500 0.7500 0.5000  4 H 1.72
H 0.8750 0.6251 0.7500  2 Be 1.72

Raw total energy ... -2.550 eV per atom
SG ... I4_1/amd, No. 141
Crystal system ... tetragonal
Size of the total moment ... 0.00 μB/f.u.